Record 1
Material: CsAgGe2
Method: DFT, PBE
State: relaxed

Properties
For the formation energy, the calculation gives 0.62 eV/atom.

```
4
Lattice="0.000 3.745 3.745 3.745 0.000 3.745 3.745 3.745 0.000" Properties=species:S:1:pos:R:3 pbc="T T T"
Ge 5.618 5.618 5.618
Ge 1.873 1.873 1.873
Cs 3.745 3.745 3.745
Ag 0.000 0.000 0.000
```


Record 2
Material: CaAc2Tl3
Method: DFT, PBE
State: relaxed

Properties
For the formation energy, the calculation gives -0.39 eV/atom.

```
12
Lattice="5.746 0.000 0.000 -2.873 4.976 0.000 0.000 0.000 14.160" Properties=species:S:1:pos:R:3 pbc="T T T"
Tl 0.000 3.317 12.962
Ac 0.000 0.000 0.000
Ac 2.873 1.659 11.652
Tl 0.000 0.000 3.610
Tl 0.000 0.000 10.550
Ac 0.000 0.000 7.080
Tl 2.873 1.659 8.218
Ca 2.873 1.659 4.726
Tl 0.000 3.317 5.942
Tl 2.873 1.659 1.198
Ca 0.000 3.317 9.434
Ac 0.000 3.317 2.508
```


Record 3
Material: BaSi3Mo
Method: DFT, PBE
State: relaxed

Properties
The raw formation energy comes out at -0.0764 eV per atom.

```
5
Lattice="4.837 0.000 0.000 0.000 4.837 0.000 0.000 0.000 4.837" Properties=species:S:1:pos:R:3 pbc="T T T"
Mo 0.000 0.000 0.000
Si 0.000 2.418 0.000
Si 0.000 0.000 2.418
Si 2.418 0.000 0.000
Ba 2.418 2.418 2.418
```


Record 4
Material: CeTm2Al
Method: DFT, PBE
State: relaxed

Properties
For the formation energy, the calculation gives -0.15 eV/atom.

```
8
Lattice="-2.088 -1.567 -4.298 2.112 -6.112 1.203 -6.115 0.538 2.774" Properties=species:S:1:pos:R:3 pbc="T T T"
Ce -2.719 -1.014 0.220
Tm -0.380 -6.126 -1.994
Tm -5.710 -1.015 1.673
Al -5.219 -3.038 -0.770
Ce -3.372 -6.127 -0.541
Al -0.871 -4.103 0.448
Tm -2.254 -3.345 -2.098
Tm -3.836 -3.796 1.777
```


Number 1: polymorph energy (0 for the lowest one) 0.622 eV per atom. Number 2: polymorph energy (0 for the lowest one) 0.000 eV per atom. Number 3: polymorph energy (0 for the lowest one) 0.000 eV per atom. Number 4: polymorph energy (0 for the lowest one) 0.014 eV per atom.